First-principles (PBE) data for a geometry-optimized TbGa3Cu2 structure, as listed in the Alexandria database.

a = 5.4801 Å, b = 6.1713 Å, c = 6.1713 Å
α = 99.77°, β = 90.00°, γ = 90.00°
With the nearest neighbours (Å) after each atom.
Fractional positions:
Ga (0.2500, 0.8635, 0.5512)  2 Cu 2.43, 1 Ga 2.56
Ga (0.7500, 0.1365, 0.4488)  2 Cu 2.43, 1 Ga 2.56
Ga (0.7500, 0.4488, 0.1365)  2 Cu 2.43, 1 Ga 2.56
Ga (0.7500, 0.0301, 0.0301)  4 Cu 2.52, 4 Ga 2.56-2.78
Ga (0.2500, 0.5512, 0.8635)  2 Cu 2.43, 1 Ga 2.56
Ga (0.2500, 0.9699, 0.9699)  4 Cu 2.52, 4 Ga 2.56-2.78
Cu (0.5000, 0.2228, 0.7772)  4 Ga 2.43-2.52
Cu (0.0000, 0.7772, 0.2228)  4 Ga 2.43-2.52
Cu (0.5000, 0.7772, 0.2228)  4 Ga 2.43-2.52
Cu (0.0000, 0.2228, 0.7772)  4 Ga 2.43-2.52
Tb (0.2500, 0.3409, 0.3409)  7 Ga 2.95-3.27, 4 Cu 3.21
Tb (0.7500, 0.6591, 0.6591)  7 Ga 2.95-3.27, 4 Cu 3.21

Properties
Magnetization in μB per formula unit: 0.00
Energy of formation in eV/atom: -0.328